(1)
K5Ru: optimized geometry, PBE.

Output
Magnetization = 2.211 μB/f.u.
Space-group type = F-43m (216)

Lattice parameters (Å, degrees): 7.645 7.645 7.645 60.00 60.00 60.00
Site moments in Bohr magnetons follow the coordinates.
Atoms (fractional coordinates):
1 K 0.119 0.627 0.627  -0.01
2 K 0.250 0.250 0.250  -0.01
3 K 0.627 0.627 0.119  -0.01
4 K 0.627 0.119 0.627  -0.01
5 K 0.627 0.627 0.627  -0.01
6 Ru 0.000 0.000 0.000  2.19

(2)
KRu: optimized geometry, PBE.

Output
Magnetization = 3.019 μB/f.u.
Space-group type = Fm-3m (225)

Lattice parameters (Å, degrees): 6.667 6.667 6.667 90.00 90.00 90.00
Site moments in Bohr magnetons follow the coordinates.
Atoms (fractional coordinates):
1 K 0.500 0.500 0.000  0.02
2 K 0.000 0.500 0.500  0.02
3 K 0.500 0.000 0.500  0.02
4 K 0.000 0.000 0.000  0.02
5 Ru 0.500 0.000 0.000  2.53
6 Ru 0.000 0.000 0.500  2.53
7 Ru 0.500 0.500 0.500  2.53
8 Ru 0.000 0.500 0.000  2.53

(3)
KRu: optimized geometry, PBE.

Output
Magnetization = 3.000 μB/f.u.
Space-group type = F-43m (216)

Lattice parameters (Å, degrees): 5.428 5.428 5.428 60.00 60.00 60.00
Site moments in Bohr magnetons follow the coordinates.
Atoms (fractional coordinates):
1 K 0.000 0.000 0.000  0.02
2 Ru 0.750 0.750 0.750  2.54

(4)
KRu: optimized geometry, PBE.

Output
Magnetization = 0.440 μB/f.u.
Space-group type = P4/mmm (123)

Lattice parameters (Å, degrees): 2.706 2.706 5.615 90.00 90.00 90.00
Site moments in Bohr magnetons follow the coordinates.
Atoms (fractional coordinates):
1 K 0.000 0.000 0.000  -0.01
2 Ru 0.500 0.500 0.500  0.43

Number 1: electronic total energy -1.56 eV per atom. Number 2: electronic total energy -2.81 eV per atom. Number 3: electronic total energy -2.58 eV per atom. Number 4: electronic total energy -3.90 eV per atom.